# PaVCo2, optimized geometry, DFT GGA-PBE
data_PaVCo2
_chemical_formula_sum 'Pa1 V1 Co2'
_cell_length_a 2.898
_cell_length_b 2.898
_cell_length_c 8.510
_cell_angle_alpha 80.20
_cell_angle_beta 80.20
_cell_angle_gamma 60.00
_space_group_name_H-M_alt 'P 1'
_space_group_IT_number 1
_space_group_name_Hall 'P 1'
loop_
_atom_site_label
_atom_site_type_symbol
_atom_site_fract_x
_atom_site_fract_y
_atom_site_fract_z
Co1 Co 0.265 0.265 0.206
Pa1 Pa 0.500 0.500 0.500
Co2 Co 0.735 0.735 0.794
V1 V 0.000 0.000 0.000
# **ΔE_f**: 0.2474 eV per atom
# **E above lowest polymorph**: 369.0 meV/atom